[1]
{
  "formula": "Tc2NiB",
  "functional": "GGA-PBE",
  "state": "optimized geometry",
  "energy_ev_per_fu": -32.80,
  "cell": [[0.000, 3.525, 3.868], [3.396, 0.000, 3.868], [3.396, 3.525, 0.000]],
  "species": ["Tc", "Tc", "Tc", "Tc", "Ni", "Ni", "B", "B"],
  "frac_coords": [[0.174, 0.826, 0.826], [0.250, 0.250, 0.250], [0.750, 0.750, 0.750], [0.826, 0.174, 0.174], [0.324, 0.676, 0.324], [0.676, 0.324, 0.676], [0.271, 0.271, 0.729], [0.729, 0.729, 0.271]]
}

[2]
{
  "formula": "YTcNi2B",
  "functional": "GGA-PBE",
  "state": "optimized geometry",
  "de_polymorph_kcal_per_mol_atoms": 42.269,
  "energy_ev_per_fu": -27.35,
  "cell": [[4.418, 0.000, 0.000], [0.000, 4.418, 0.000], [0.000, 0.000, 5.280]],
  "species": ["Y", "Tc", "Ni", "Ni", "B"],
  "frac_coords": [[0.000, 0.000, 0.000], [0.000, 0.000, 0.500], [0.000, 0.500, 0.500], [0.500, 0.000, 0.500], [0.500, 0.500, 0.000]]
}

[3]
{
  "formula": "YTcNi2B",
  "functional": "GGA-PBE",
  "state": "optimized geometry",
  "de_polymorph_kcal_per_mol_atoms": 0.000,
  "energy_ev_per_fu": -36.52,
  "cell": [[4.039, 0.000, 0.000], [0.000, 4.039, 0.000], [0.000, 0.000, 4.219]],
  "species": ["Y", "Tc", "Ni", "Ni", "B"],
  "frac_coords": [[0.000, 0.000, 0.000], [0.500, 0.500, 0.000], [0.000, 0.500, 0.500], [0.500, 0.000, 0.500], [0.500, 0.500, 0.500]]
}

[4]
{
  "formula": "ZrTcNi2B",
  "functional": "GGA-PBE",
  "state": "optimized geometry",
  "de_polymorph_kcal_per_mol_atoms": 0.000,
  "energy_ev_per_fu": -39.18,
  "cell": [[3.938, 0.000, 0.000], [0.000, 3.938, 0.000], [0.000, 0.000, 4.174]],
  "species": ["Zr", "Tc", "Ni", "Ni", "B"],
  "frac_coords": [[0.000, 0.000, 0.000], [0.500, 0.500, 0.000], [0.000, 0.500, 0.500], [0.500, 0.000, 0.500], [0.500, 0.500, 0.500]]
}

[5]
{
  "formula": "ZrTcNi2B",
  "functional": "GGA-PBE",
  "state": "optimized geometry",
  "de_polymorph_kcal_per_mol_atoms": 61.921,
  "energy_ev_per_fu": -25.76,
  "cell": [[4.527, 0.000, 0.000], [0.000, 4.527, 0.000], [0.000, 0.000, 4.803]],
  "species": ["Zr", "Tc", "Ni", "Ni", "B"],
  "frac_coords": [[0.000, 0.000, 0.000], [0.000, 0.000, 0.500], [0.000, 0.500, 0.000], [0.500, 0.000, 0.000], [0.500, 0.500, 0.500]]
}

[6]
{
  "formula": "ZrTc2NiB",
  "functional": "GGA-PBE",
  "state": "optimized geometry",
  "energy_ev_per_fu": -43.33,
  "cell": [[4.220, 0.000, 0.000], [0.000, 4.220, 0.000], [0.000, 0.000, 3.867]],
  "species": ["Zr", "Tc", "Tc", "Ni", "B"],
  "frac_coords": [[0.000, 0.000, 0.000], [0.000, 0.500, 0.500], [0.500, 0.000, 0.500], [0.500, 0.500, 0.000], [0.500, 0.500, 0.500]]
}

[7]
{
  "formula": "NiBTe2",
  "functional": "GGA-PBE",
  "state": "optimized geometry",
  "e_form_raw_ev_per_atom": 0.58,
  "energy_ev_per_fu": -16.42,
  "cell": [[2.016, 1.164, 6.764], [-2.016, 1.164, 6.764], [0.000, -2.328, 6.764]],
  "species": ["Ni", "B", "Te", "Te"],
  "frac_coords": [[0.000, 0.000, 0.000], [0.500, 0.500, 0.500], [0.399, 0.399, 0.399], [0.601, 0.601, 0.601]]
}

[8]
{
  "formula": "Ni2BTe2",
  "functional": "GGA-PBE",
  "state": "optimized geometry",
  "e_form_raw_ev_per_atom": 0.40,
  "de_polymorph_kcal_per_mol_atoms": 0.920,
  "energy_ev_per_fu": -22.54,
  "cell": [[5.761, 0.000, 0.000], [0.000, 5.761, 0.000], [0.000, 0.000, 5.210]],
  "species": ["Ni", "Ni", "Ni", "Ni", "B", "B", "Te", "Te", "Te", "Te"],
  "frac_coords": [[0.200, 0.300, 0.000], [0.300, 0.800, 0.000], [0.700, 0.200, 0.000], [0.800, 0.700, 0.000], [0.000, 0.000, 0.000], [0.500, 0.500, 0.000], [0.183, 0.317, 0.500], [0.317, 0.817, 0.500], [0.683, 0.183, 0.500], [0.817, 0.683, 0.500]]
}

[9]
{
  "formula": "NiB3Te",
  "functional": "GGA-PBE",
  "state": "optimized geometry",
  "e_form_raw_ev_per_atom": 1.27,
  "de_polymorph_kcal_per_mol_atoms": 0.000,
  "energy_ev_per_fu": -22.61,
  "cell": [[4.003, 0.000, 0.000], [0.000, 4.003, 0.000], [0.000, 0.000, 4.003]],
  "species": ["Ni", "B", "B", "B", "Te"],
  "frac_coords": [[0.000, 0.000, 0.000], [0.000, 0.000, 0.500], [0.000, 0.500, 0.000], [0.500, 0.000, 0.000], [0.500, 0.500, 0.500]]
}

[10]
{
  "formula": "Ni3BTe",
  "functional": "GGA-PBE",
  "state": "optimized geometry",
  "e_form_raw_ev_per_atom": 1.58,
  "de_polymorph_kcal_per_mol_atoms": 36.371,
  "energy_ev_per_fu": -19.27,
  "cell": [[4.639, 0.000, 0.000], [0.000, 4.639, 0.000], [0.000, 0.000, 4.639]],
  "species": ["Ni", "Ni", "Ni", "B", "Te"],
  "frac_coords": [[0.000, 0.000, 0.500], [0.000, 0.500, 0.000], [0.500, 0.000, 0.000], [0.500, 0.500, 0.500], [0.000, 0.000, 0.000]]
}

[11]
{
  "formula": "NiBTe2",
  "functional": "GGA-PBE",
  "state": "optimized geometry",
  "e_form_raw_ev_per_atom": 0.19,
  "energy_ev_per_fu": -17.96,
  "cell": [[-2.793, 2.793, 5.360], [2.793, -2.793, 5.360], [2.793, 2.793, -5.360]],
  "species": ["Ni", "Ni", "B", "B", "Te", "Te", "Te", "Te"],
  "frac_coords": [[0.000, 0.000, 0.000], [0.750, 0.250, 0.500], [0.250, 0.750, 0.500], [0.500, 0.500, 0.000], [0.147, 0.625, 0.022], [0.375, 0.397, 0.522], [0.603, 0.125, 0.978], [0.875, 0.853, 0.478]]
}

[12]
{
  "formula": "Ni2BTe",
  "functional": "GGA-PBE",
  "state": "optimized geometry",
  "e_form_raw_ev_per_atom": 0.21,
  "de_polymorph_kcal_per_mol_atoms": 0.000,
  "energy_ev_per_fu": -20.55,
  "cell": [[-2.287, 2.287, 5.882], [2.287, -2.287, 5.882], [2.287, 2.287, -5.882]],
  "species": ["Ni", "Ni", "Ni", "Ni", "B", "B", "Te", "Te"],
  "frac_coords": [[0.004, 0.625, 0.879], [0.375, 0.254, 0.379], [0.746, 0.125, 0.121], [0.875, 0.996, 0.621], [0.000, 0.000, 0.000], [0.750, 0.250, 0.500], [0.250, 0.750, 0.500], [0.500, 0.500, 0.000]]
}